Record 1
# TbDy3Y6 (PBE, relaxed)
data_TbDy3Y6
_chemical_formula_sum 'Tb4 Dy12 Y24'
_symmetry_space_group_name_H-M 'C m c 21'
_symmetry_Int_Tables_number 36
_symmetry_space_group_name_Hall 'C 2c -2'
_cell_length_a 10.990
_cell_length_b 18.947
_cell_length_c 6.255
_cell_angle_alpha 90.00
_cell_angle_beta 90.00
_cell_angle_gamma 90.00
loop_
_atom_site_label
_atom_site_type_symbol
_atom_site_fract_x
_atom_site_fract_y
_atom_site_fract_z
Tb1 Tb 0.000 0.206 0.000
Dy1 Dy 0.000 0.389 0.078
Dy2 Dy 0.172 0.110 0.697
Y1 Y 0.000 0.047 0.245
Y2 Y 0.000 0.280 0.499
Y3 Y 0.164 0.455 0.612
Y4 Y 0.246 0.291 0.790
# E	-5.5779	eV per atom
# N(E_F)	15.21	states/eV/f.u.
# E_form	0.14	eV per atom
# ΔE to the lowest computed polymorph	29	meV/atom
# crystal system	orthorhombic

***

Record 2
# LaReSi (PBE, relaxed)
data_LaReSi
_chemical_formula_sum 'La2 Re2 Si2'
_symmetry_space_group_name_H-M 'I 4 m m'
_symmetry_Int_Tables_number 107
_symmetry_space_group_name_Hall 'I 4 -2'
_cell_length_a 3.304
_cell_length_b 3.304
_cell_length_c 10.894
_cell_angle_alpha 90.00
_cell_angle_beta 90.00
_cell_angle_gamma 90.00
loop_
_atom_site_label
_atom_site_type_symbol
_atom_site_fract_x
_atom_site_fract_y
_atom_site_fract_z
La1 La 0.000 0.000 0.000
Re1 Re 0.000 0.000 0.705
Si1 Si 0.000 0.000 0.290
# E	-7.7737	eV per atom
# N(E_F)	1.47	states/eV/f.u.
# E_form (uncorrected)	-0.17	eV per atom
# crystal system	tetragonal

***

Record 3
# La4HgSbN (PBE, relaxed)
data_La4HgSbN
_chemical_formula_sum 'La16 Hg4 Sb4 N4'
_symmetry_space_group_name_H-M 'C m c m'
_symmetry_Int_Tables_number 63
_symmetry_space_group_name_Hall '-C 2c 2'
_cell_length_a 7.071
_cell_length_b 16.481
_cell_length_c 7.094
_cell_angle_alpha 90.00
_cell_angle_beta 90.00
_cell_angle_gamma 90.00
loop_
_atom_site_label
_atom_site_type_symbol
_atom_site_fract_x
_atom_site_fract_y
_atom_site_fract_z
La1 La 0.000 0.083 0.250
La2 La 0.000 0.414 0.250
La3 La 0.250 0.250 0.000
Hg1 Hg 0.000 0.114 0.750
Sb1 Sb 0.000 0.391 0.750
N1 N 0.000 0.237 0.250
# E	-5.5368	eV per atom
# N(E_F)	5.77	states/eV/f.u.
# E_form (uncorrected)	-0.90	eV per atom
# crystal system	orthorhombic